PBE SrMnAgP, relaxed; Fermi-level density of states = 3.97 states/eV per cell; theoretical density = 5.61 g/cm³; DFT formation energy = -0.54 eV/atom
1.0
-2.175 0.653 3.074
2.552 -1.814 2.191
5.468 9.842 1.780
Sr P Mn Ag
2 2 2 2
Cartesian
4.194 7.089 2.651
1.651 1.592 4.394
0.717 0.831 1.519
5.128 7.849 5.526
1.370 -1.198 2.412
-0.993 0.036 2.853
4.105 3.724 3.302
1.741 4.957 3.743